Record 1
# AcGa2Ir2, relaxed, DFT PBE
# - calculated density (g/cm3) = 12.44
data_AcGa2Ir2
_space_group_name_H-M_alt 'P 1'
_space_group_IT_number 1
_cell_length_a 4.387
_cell_length_b 4.387
_cell_length_c 10.415
_cell_angle_alpha 90.00
_cell_angle_beta 90.00
_cell_angle_gamma 90.00
loop_
_space_group_symop_operation_xyz
'x,y,z'
loop_
_atom_site_label
_atom_site_fract_x
_atom_site_fract_y
_atom_site_fract_z
Ga1 0.500 0.500 0.500
Ga2 0.000 0.500 0.122
Ga3 0.500 0.000 0.878
Ga4 0.000 0.000 0.500
Ac1 0.500 0.000 0.241
Ac2 0.000 0.500 0.759
Ir1 0.500 0.500 0.000
Ir2 0.000 0.000 0.000
Ir3 0.500 0.000 0.630
Ir4 0.000 0.500 0.370


Record 2
# Ac4Ga2Ir, relaxed, DFT PBE
# - calculated density (g/cm3) = 7.89
data_Ac4Ga2Ir
_space_group_name_H-M_alt 'P 1'
_space_group_IT_number 1
_cell_length_a 5.759
_cell_length_b 5.759
_cell_length_c 8.862
_cell_angle_alpha 108.96
_cell_angle_beta 108.96
_cell_angle_gamma 90.00
loop_
_space_group_symop_operation_xyz
'x,y,z'
loop_
_atom_site_label
_atom_site_fract_x
_atom_site_fract_y
_atom_site_fract_z
Ac1 0.500 0.000 0.000
Ac2 0.189 0.189 0.377
Ac3 0.811 0.811 0.623
Ac4 0.000 0.500 0.000
Ga1 0.386 0.386 0.772
Ga2 0.614 0.614 0.228
Ir1 0.000 0.000 0.000


Record 3
# AcGaIr4, relaxed, DFT PBE
# - calculated density (g/cm3) = 15.66
data_AcGaIr4
_space_group_name_H-M_alt 'P 1'
_space_group_IT_number 1
_cell_length_a 5.426
_cell_length_b 5.426
_cell_length_c 5.426
_cell_angle_alpha 60.00
_cell_angle_beta 60.00
_cell_angle_gamma 60.00
loop_
_space_group_symop_operation_xyz
'x,y,z'
loop_
_atom_site_label
_atom_site_fract_x
_atom_site_fract_y
_atom_site_fract_z
Ir1 0.626 0.626 0.122
Ir2 0.122 0.626 0.626
Ir3 0.626 0.626 0.626
Ir4 0.626 0.122 0.626
Ga1 0.000 0.000 0.000
Ac1 0.250 0.250 0.250


Record 4
# Ac3GaIr2, relaxed, DFT PBE
# - calculated density (g/cm3) = 10.40
data_Ac3GaIr2
_space_group_name_H-M_alt 'P 1'
_space_group_IT_number 1
_cell_length_a 7.821
_cell_length_b 7.821
_cell_length_c 7.821
_cell_angle_alpha 63.23
_cell_angle_beta 63.23
_cell_angle_gamma 63.23
loop_
_space_group_symop_operation_xyz
'x,y,z'
loop_
_atom_site_label
_atom_site_fract_x
_atom_site_fract_y
_atom_site_fract_z
Ir1 0.364 0.364 0.364
Ir2 0.136 0.136 0.136
Ir3 0.636 0.636 0.636
Ir4 0.864 0.864 0.864
Ac1 0.750 0.466 0.034
Ac2 0.966 0.250 0.534
Ac3 0.534 0.966 0.250
Ac4 0.250 0.534 0.966
Ac5 0.034 0.750 0.466
Ac6 0.466 0.034 0.750
Ga1 0.500 0.500 0.500
Ga2 0.000 0.000 0.000


Record 5
# Ac2Ga4Ir5, relaxed, DFT PBE
# - calculated density (g/cm3) = 12.92
data_Ac2Ga4Ir5
_space_group_name_H-M_alt 'P 1'
_space_group_IT_number 1
_cell_length_a 5.830
_cell_length_b 5.757
_cell_length_c 8.065
_cell_angle_alpha 79.45
_cell_angle_beta 68.81
_cell_angle_gamma 59.58
loop_
_space_group_symop_operation_xyz
'x,y,z'
loop_
_atom_site_label
_atom_site_fract_x
_atom_site_fract_y
_atom_site_fract_z
Ga1 0.531 0.679 0.258
Ga2 0.211 0.321 0.258
Ga3 0.469 0.321 0.742
Ga4 0.789 0.679 0.742
Ir1 0.000 0.500 0.000
Ir2 0.500 0.500 0.000
Ir3 0.750 0.500 0.500
Ir4 0.500 0.000 0.000
Ir5 0.250 0.500 0.500
Ac1 0.127 0.000 0.747
Ac2 0.873 0.000 0.253


Record 6
# Ac2GaIr, relaxed, DFT PBE
# - calculated density (g/cm3) = 10.59
data_Ac2GaIr
_space_group_name_H-M_alt 'P 1'
_space_group_IT_number 1
_cell_length_a 3.840
_cell_length_b 3.840
_cell_length_c 7.615
_cell_angle_alpha 90.00
_cell_angle_beta 90.00
_cell_angle_gamma 90.00
loop_
_space_group_symop_operation_xyz
'x,y,z'
loop_
_atom_site_label
_atom_site_fract_x
_atom_site_fract_y
_atom_site_fract_z
Ir1 0.500 0.500 0.000
Ac1 0.000 0.000 0.229
Ac2 0.000 0.000 0.771
Ga1 0.500 0.500 0.500


Record 7
# Ac5Ga3Ir3, relaxed, DFT PBE
# - calculated density (g/cm3) = 8.66
data_Ac5Ga3Ir3
_space_group_name_H-M_alt 'P 1'
_space_group_IT_number 1
_cell_length_a 4.847
_cell_length_b 9.368
_cell_length_c 9.368
_cell_angle_alpha 120.00
_cell_angle_beta 90.00
_cell_angle_gamma 90.00
loop_
_space_group_symop_operation_xyz
'x,y,z'
loop_
_atom_site_label
_atom_site_fract_x
_atom_site_fract_y
_atom_site_fract_z
Ac1 0.500 0.000 0.765
Ac2 0.500 0.667 0.333
Ac3 0.500 0.333 0.667
Ac4 0.500 0.765 0.000
Ac5 0.500 0.235 0.235
Ir1 0.500 0.000 0.374
Ir2 0.500 0.626 0.626
Ir3 0.500 0.374 0.000
Ga1 0.000 0.364 0.000
Ga2 0.000 0.636 0.636
Ga3 0.000 0.000 0.364


Record 8
# AcGa2Ir2, relaxed, DFT PBE
# - calculated density (g/cm3) = 12.47
data_AcGa2Ir2
_space_group_name_H-M_alt 'P 1'
_space_group_IT_number 1
_cell_length_a 4.375
_cell_length_b 4.375
_cell_length_c 6.072
_cell_angle_alpha 111.12
_cell_angle_beta 111.12
_cell_angle_gamma 90.00
loop_
_space_group_symop_operation_xyz
'x,y,z'
loop_
_atom_site_label
_atom_site_fract_x
_atom_site_fract_y
_atom_site_fract_z
Ir1 0.750 0.250 0.500
Ir2 0.250 0.750 0.500
Ga1 0.632 0.632 0.263
Ga2 0.368 0.368 0.737
Ac1 0.000 0.000 0.000


Record 9
# Ac3Ga2Ir4, relaxed, DFT PBE
# - calculated density (g/cm3) = 12.66
data_Ac3Ga2Ir4
_space_group_name_H-M_alt 'P 1'
_space_group_IT_number 1
_cell_length_a 4.329
_cell_length_b 6.198
_cell_length_c 8.848
_cell_angle_alpha 109.15
_cell_angle_beta 90.00
_cell_angle_gamma 110.44
loop_
_space_group_symop_operation_xyz
'x,y,z'
loop_
_atom_site_label
_atom_site_fract_x
_atom_site_fract_y
_atom_site_fract_z
Ir1 0.286 0.571 0.932
Ir2 0.905 0.809 0.572
Ir3 0.714 0.429 0.068
Ir4 0.095 0.191 0.428
Ac1 0.630 0.259 0.698
Ac2 0.000 0.000 0.000
Ac3 0.370 0.741 0.302
Ga1 0.329 0.658 0.667
Ga2 0.671 0.342 0.333


Record 10
# AcGa3Ir, relaxed, DFT PBE
# - calculated density (g/cm3) = 9.84
data_AcGa3Ir
_space_group_name_H-M_alt 'P 1'
_space_group_IT_number 1
_cell_length_a 4.460
_cell_length_b 4.461
_cell_length_c 6.191
_cell_angle_alpha 68.88
_cell_angle_beta 68.88
_cell_angle_gamma 89.98
loop_
_space_group_symop_operation_xyz
'x,y,z'
loop_
_atom_site_label
_atom_site_fract_x
_atom_site_fract_y
_atom_site_fract_z
Ir1 0.029 0.832 0.648
Ga1 0.144 0.447 0.418
Ga2 0.794 0.598 0.116
Ga3 0.644 0.947 0.418
Ac1 0.397 0.200 0.912


Record 11
# Ac12Ga5Ir2, relaxed, DFT PBE
# - calculated density (g/cm3) = 7.84
data_Ac12Ga5Ir2
_space_group_name_H-M_alt 'P 1'
_space_group_IT_number 1
_cell_length_a 8.479
_cell_length_b 9.867
_cell_length_c 10.099
_cell_angle_alpha 104.76
_cell_angle_beta 90.00
_cell_angle_gamma 115.45
loop_
_space_group_symop_operation_xyz
'x,y,z'
loop_
_atom_site_label
_atom_site_fract_x
_atom_site_fract_y
_atom_site_fract_z
Ac1 0.894 0.291 0.567
Ac2 0.094 0.656 0.892
Ac3 0.563 0.656 0.892
Ac4 0.397 0.291 0.567
Ac5 0.906 0.344 0.108
Ac6 0.973 0.947 0.180
Ac7 0.027 0.053 0.820
Ac8 0.437 0.344 0.108
Ac9 0.497 0.994 0.214
Ac10 0.106 0.709 0.433
Ac11 0.503 0.006 0.786
Ac12 0.603 0.709 0.433
Ga1 0.296 0.592 0.626
Ga2 0.309 0.617 0.159
Ga3 0.691 0.383 0.841
Ga4 0.704 0.408 0.374
Ga5 0.000 0.000 0.500
Ir1 0.744 0.000 0.000
Ir2 0.256 0.000 0.000


Record 12
# Ac8GaIr4, relaxed, DFT PBE
# - calculated density (g/cm3) = 9.07
data_Ac8GaIr4
_space_group_name_H-M_alt 'P 1'
_space_group_IT_number 1
_cell_length_a 4.419
_cell_length_b 10.602
_cell_length_c 10.859
_cell_angle_alpha 90.98
_cell_angle_beta 78.26
_cell_angle_gamma 77.97
loop_
_space_group_symop_operation_xyz
'x,y,z'
loop_
_atom_site_label
_atom_site_fract_x
_atom_site_fract_y
_atom_site_fract_z
Ga1 0.568 0.914 0.949
Ac1 0.830 0.006 0.334
Ac2 0.550 0.300 0.599
Ac3 0.817 0.628 0.737
Ac4 0.143 0.655 0.059
Ac5 0.462 0.670 0.406
Ac6 0.188 0.348 0.275
Ac7 0.183 0.963 0.671
Ac8 0.872 0.313 0.942
Ir1 0.665 0.497 0.173
Ir2 0.826 0.814 0.534
Ir3 0.350 0.468 0.832
Ir4 0.189 0.155 0.467


Record 13
# Ac2Ga3Ir4, relaxed, DFT PBE
# - calculated density (g/cm3) = 13.58
data_Ac2Ga3Ir4
_space_group_name_H-M_alt 'P 1'
_space_group_IT_number 1
_cell_length_a 5.844
_cell_length_b 7.470
_cell_length_c 8.540
_cell_angle_alpha 90.00
_cell_angle_beta 110.01
_cell_angle_gamma 90.00
loop_
_space_group_symop_operation_xyz
'x,y,z'
loop_
_atom_site_label
_atom_site_fract_x
_atom_site_fract_y
_atom_site_fract_z
Ga1 0.979 0.250 0.457
Ga2 0.000 0.000 0.000
Ga3 0.521 0.750 0.543
Ga4 0.021 0.750 0.543
Ga5 0.500 0.500 0.000
Ga6 0.479 0.250 0.457
Ir1 0.181 0.750 0.863
Ir2 0.819 0.250 0.137
Ir3 0.319 0.250 0.137
Ir4 0.680 0.519 0.360
Ir5 0.681 0.750 0.863
Ir6 0.820 0.019 0.640
Ir7 0.320 0.481 0.640
Ir8 0.180 0.981 0.360
Ac1 0.893 0.411 0.786
Ac2 0.107 0.589 0.214
Ac3 0.393 0.089 0.786
Ac4 0.607 0.911 0.214


Record 14
# Ac4Ga5Ir3, relaxed, DFT PBE
# - calculated density (g/cm3) = 9.45
data_Ac4Ga5Ir3
_space_group_name_H-M_alt 'P 1'
_space_group_IT_number 1
_cell_length_a 4.689
_cell_length_b 7.798
_cell_length_c 10.144
_cell_angle_alpha 66.60
_cell_angle_beta 76.64
_cell_angle_gamma 72.50
loop_
_space_group_symop_operation_xyz
'x,y,z'
loop_
_atom_site_label
_atom_site_fract_x
_atom_site_fract_y
_atom_site_fract_z
Ac1 0.244 0.847 0.666
Ac2 0.042 0.718 0.197
Ac3 0.958 0.282 0.803
Ac4 0.756 0.153 0.334
Ir1 0.395 0.859 0.351
Ir2 0.605 0.141 0.649
Ir3 0.000 0.500 0.500
Ga1 0.409 0.085 0.097
Ga2 0.709 0.550 0.032
Ga3 0.291 0.450 0.968
Ga4 0.500 0.500 0.500
Ga5 0.591 0.915 0.903


Record 15
# Ac4Ga3Ir, relaxed, DFT PBE
# - calculated density (g/cm3) = 9.19
data_Ac4Ga3Ir
_space_group_name_H-M_alt 'P 1'
_space_group_IT_number 1
_cell_length_a 4.667
_cell_length_b 4.393
_cell_length_c 11.537
_cell_angle_alpha 90.00
_cell_angle_beta 90.00
_cell_angle_gamma 90.00
loop_
_space_group_symop_operation_xyz
'x,y,z'
loop_
_atom_site_label
_atom_site_fract_x
_atom_site_fract_y
_atom_site_fract_z
Ga1 0.500 0.000 0.941
Ga2 0.000 0.500 0.567
Ga3 0.000 0.000 0.431
Ac1 0.500 0.000 0.643
Ac2 0.500 0.500 0.346
Ac3 0.000 0.500 0.864
Ac4 0.000 0.000 0.139
Ir1 0.500 0.500 0.070


Record 16
# Ac3GaIr3, relaxed, DFT PBE
# - calculated density (g/cm3) = 12.56
data_Ac3GaIr3
_space_group_name_H-M_alt 'P 1'
_space_group_IT_number 1
_cell_length_a 4.263
_cell_length_b 5.993
_cell_length_c 14.696
_cell_angle_alpha 90.00
_cell_angle_beta 90.00
_cell_angle_gamma 110.83
loop_
_space_group_symop_operation_xyz
'x,y,z'
loop_
_atom_site_label
_atom_site_fract_x
_atom_site_fract_y
_atom_site_fract_z
Ir1 0.225 0.451 0.250
Ir2 0.072 0.143 0.085
Ir3 0.928 0.857 0.585
Ir4 0.775 0.549 0.750
Ir5 0.928 0.857 0.915
Ir6 0.072 0.143 0.415
Ac1 0.213 0.425 0.607
Ac2 0.787 0.575 0.107
Ac3 0.487 0.975 0.750
Ac4 0.213 0.425 0.893
Ac5 0.513 0.025 0.250
Ac6 0.787 0.575 0.393
Ga1 0.500 0.000 0.000
Ga2 0.500 0.000 0.500


Record 17
# AcGa5Ir2, relaxed, DFT PBE
# - calculated density (g/cm3) = 10.22
data_AcGa5Ir2
_space_group_name_H-M_alt 'P 1'
_space_group_IT_number 1
_cell_length_a 4.176
_cell_length_b 6.622
_cell_length_c 6.622
_cell_angle_alpha 66.88
_cell_angle_beta 71.62
_cell_angle_gamma 71.62
loop_
_space_group_symop_operation_xyz
'x,y,z'
loop_
_atom_site_label
_atom_site_fract_x
_atom_site_fract_y
_atom_site_fract_z
Ga1 0.000 0.500 0.500
Ga2 0.345 0.461 0.848
Ga3 0.655 0.539 0.152
Ga4 0.655 0.152 0.539
Ga5 0.345 0.848 0.461
Ac1 0.000 0.000 0.000
Ir1 0.766 0.734 0.734
Ir2 0.234 0.266 0.266


Record 18
# Ac2GaIr, relaxed, DFT PBE
# - calculated density (g/cm3) = 10.24
data_Ac2GaIr
_space_group_name_H-M_alt 'P 1'
_space_group_IT_number 1
_cell_length_a 4.175
_cell_length_b 6.451
_cell_length_c 9.242
_cell_angle_alpha 111.17
_cell_angle_beta 90.00
_cell_angle_gamma 90.00
loop_
_space_group_symop_operation_xyz
'x,y,z'
loop_
_atom_site_label
_atom_site_fract_x
_atom_site_fract_y
_atom_site_fract_z
Ga1 0.750 0.618 0.782
Ga2 0.250 0.382 0.218
Ac1 0.750 0.216 0.912
Ac2 0.250 0.779 0.554
Ac3 0.750 0.221 0.446
Ac4 0.250 0.784 0.088
Ir1 0.750 0.674 0.289
Ir2 0.250 0.326 0.711


Record 19
# Ac6Ga2Ir, relaxed, DFT PBE
# - calculated density (g/cm3) = 8.40
data_Ac6Ga2Ir
_space_group_name_H-M_alt 'P 1'
_space_group_IT_number 1
_cell_length_a 7.324
_cell_length_b 8.395
_cell_length_c 10.889
_cell_angle_alpha 90.00
_cell_angle_beta 91.11
_cell_angle_gamma 90.00
loop_
_space_group_symop_operation_xyz
'x,y,z'
loop_
_atom_site_label
_atom_site_fract_x
_atom_site_fract_y
_atom_site_fract_z
Ga1 0.549 0.893 0.746
Ga2 0.951 0.393 0.754
Ga3 0.049 0.607 0.246
Ga4 0.451 0.107 0.254
Ac1 0.340 0.818 0.063
Ac2 0.170 0.321 0.064
Ac3 0.670 0.179 0.564
Ac4 0.160 0.318 0.437
Ac5 0.136 0.039 0.754
Ac6 0.660 0.182 0.937
Ac7 0.840 0.682 0.563
Ac8 0.330 0.821 0.436
Ac9 0.364 0.539 0.746
Ac10 0.636 0.461 0.254
Ac11 0.864 0.961 0.246
Ac12 0.830 0.679 0.936
Ir1 0.000 0.000 0.500
Ir2 0.500 0.500 0.000


Record 20
# AcGa12Ir6, relaxed, DFT PBE
# - calculated density (g/cm3) = 11.02
data_AcGa12Ir6
_space_group_name_H-M_alt 'P 1'
_space_group_IT_number 1
_cell_length_a 7.262
_cell_length_b 7.262
_cell_length_c 7.262
_cell_angle_alpha 105.11
_cell_angle_beta 105.11
_cell_angle_gamma 105.11
loop_
_space_group_symop_operation_xyz
'x,y,z'
loop_
_atom_site_label
_atom_site_fract_x
_atom_site_fract_y
_atom_site_fract_z
Ga1 0.500 0.116 0.884
Ga2 0.588 0.872 0.588
Ga3 0.412 0.412 0.128
Ga4 0.884 0.500 0.116
Ga5 0.128 0.412 0.412
Ga6 0.588 0.588 0.872
Ga7 0.500 0.884 0.116
Ga8 0.116 0.884 0.500
Ga9 0.872 0.588 0.588
Ga10 0.412 0.128 0.412
Ga11 0.884 0.116 0.500
Ga12 0.116 0.500 0.884
Ir1 0.728 0.312 0.728
Ir2 0.728 0.728 0.312
Ir3 0.688 0.272 0.272
Ir4 0.272 0.272 0.688
Ir5 0.272 0.688 0.272
Ir6 0.312 0.728 0.728
Ac1 0.000 0.000 0.000


Record 21
# AcGa4Ir2, relaxed, DFT PBE
# - calculated density (g/cm3) = 10.83
data_AcGa4Ir2
_space_group_name_H-M_alt 'P 1'
_space_group_IT_number 1
_cell_length_a 4.406
_cell_length_b 4.442
_cell_length_c 7.317
_cell_angle_alpha 107.67
_cell_angle_beta 90.00
_cell_angle_gamma 90.00
loop_
_space_group_symop_operation_xyz
'x,y,z'
loop_
_atom_site_label
_atom_site_fract_x
_atom_site_fract_y
_atom_site_fract_z
Ga1 0.000 0.689 0.378
Ga2 0.500 0.811 0.623
Ga3 0.500 0.189 0.377
Ga4 0.000 0.311 0.622
Ac1 0.000 0.000 0.000
Ir1 0.500 0.592 0.183
Ir2 0.500 0.408 0.817


We obtain total energy values of -6.28; -4.80; -7.25; -6.08; -6.53; -5.47; -5.52; -6.27; -6.58; -5.05; -4.65; -5.99; -6.47; -5.31; -4.84; -6.63; -5.20; -5.62; -4.76; -5.40; -5.31 eV/atom for the records listed above, in that order.
We obtain DFT formation energy values of -705; -322; -155; -568; -655; -447; -413; -693; -596; -645; -324; -500; -607; -459; -541; -635; -577; -591; -365; -472; -458 meV/atom for the records listed above, in that order.